Sc4Al: optimized geometry, GGA-PBE.

Output
* excess energy over the best structure of this formula in the dataset: 316 kJ/mol of formula units
* SG: No. 227
* V: 27.36 Å³ per atom
* density of states at the Fermi level: 17.28 states/eV/cell

Lattice parameters (Å, degrees): 7.287 7.287 7.287 60.00 60.00 60.00
Fractional positions:
Sc 0.354 0.354 0.354
Sc 0.896 0.896 0.896
Sc 0.354 0.939 0.354
Sc 0.939 0.354 0.354
Sc 0.896 0.896 0.311
Sc 0.311 0.896 0.896
Sc 0.896 0.311 0.896
Sc 0.354 0.354 0.939
Al 0.500 0.500 0.500
Al 0.750 0.750 0.750



Pr3PtO7: optimized geometry, GGA-PBE.

Output
* SG: No. 63
* V: 14.60 Å³ per atom
* density of states at the Fermi level: 15.05 states/eV/cell
* raw formation energy: -2437 meV per atom

Lattice parameters (Å, degrees): 6.715 6.715 7.641 90.00 90.00 111.16
Site moments in Bohr magnetons follow the coordinates.
Fractional positions:
O 0.562 0.814 0.538  0.09
O 0.595 0.595 0.250  0.04
O 0.405 0.405 0.750  0.04
O 0.186 0.438 0.462  0.09
O 0.438 0.186 0.038  0.09
O 0.186 0.438 0.038  0.09
O 0.814 0.562 0.538  0.09
O 0.893 0.157 0.750  0.02
O 0.843 0.107 0.250  0.02
O 0.107 0.843 0.250  0.02
O 0.562 0.814 0.962  0.09
O 0.814 0.562 0.962  0.09
O 0.438 0.186 0.462  0.09
O 0.157 0.893 0.750  0.02
Pt 0.500 0.500 0.500  0.30
Pt 0.500 0.500 0.000  0.30
Pr 0.000 0.000 0.500  0.00
Pr 0.919 0.474 0.250  0.00
Pr 0.474 0.919 0.250  0.00
Pr 0.526 0.081 0.750  0.00
Pr 0.081 0.526 0.750  0.00
Pr 0.000 0.000 0.000  0.00



Cu2SnIr: optimized geometry, GGA-PBE.

Output
* SG: No. 123
* E: -5.27 eV per atom
* V: 14.90 Å³ per atom
* density of states at the Fermi level: 2.44 states/eV/cell

Lattice parameters (Å, degrees): 3.955 3.882 3.882 90.00 90.00 90.00
Fractional positions:
Ir 0.500 0.500 0.500
Sn 0.500 0.000 0.000
Cu 0.000 0.500 0.000
Cu 0.000 0.000 0.500



Nd2Dy6YMg: optimized geometry, GGA-PBE.

Output
* SG: No. 15
* E: -4.41 eV per atom
* V: 31.96 Å³ per atom
* density of states at the Fermi level: 29.28 states/eV/cell

Lattice parameters (Å, degrees): 6.650 11.022 11.022 126.72 85.88 85.88
Fractional positions:
Nd 0.998 0.351 0.186
Nd 0.002 0.649 0.814
Nd 0.502 0.814 0.649
Nd 0.498 0.186 0.351
Dy 0.723 0.085 0.562
Dy 0.777 0.438 0.915
Dy 0.483 0.467 0.293
Dy 0.983 0.293 0.467
Dy 0.972 0.909 0.205
Dy 0.223 0.562 0.085
Dy 0.517 0.533 0.707
Dy 0.472 0.205 0.909
Dy 0.017 0.707 0.533
Dy 0.028 0.091 0.795
Dy 0.277 0.915 0.438
Dy 0.528 0.795 0.091
Y 0.250 0.993 0.007
Y 0.750 0.007 0.993
Mg 0.250 0.294 0.706
Mg 0.750 0.706 0.294



Mg2Hg3Pd7: optimized geometry, GGA-PBE.

Output
* SG: No. 69
* E: -3.75 eV per atom
* V: 16.89 Å³ per atom
* density of states at the Fermi level: 3.56 states/eV/cell

Lattice parameters (Å, degrees): 4.250 4.250 11.621 100.57 100.57 89.90
Fractional positions:
Pd 0.585 0.085 0.169
Pd 0.000 0.000 0.000
Pd 0.250 0.750 0.500
Pd 0.915 0.415 0.831
Pd 0.750 0.250 0.500
Pd 0.085 0.585 0.169
Pd 0.415 0.915 0.831
Hg 0.500 0.500 0.000
Hg 0.833 0.833 0.667
Hg 0.167 0.167 0.333
Mg 0.335 0.335 0.670
Mg 0.665 0.665 0.330



CdTc2HgPt: optimized geometry, GGA-PBE.

Output
* SG: No. 123
* E: -3.48 eV per atom
* V: 25.13 Å³ per atom
* density of states at the Fermi level: 2.95 states/eV/cell

Lattice parameters (Å, degrees): 5.008 5.010 5.008 90.00 90.00 90.00
Site moments in Bohr magnetons follow the coordinates.
Fractional positions:
Hg 0.000 0.500 0.000  -0.01
Tc 0.500 0.000 0.000  2.56
Tc 0.000 0.000 0.500  2.87
Cd 0.000 0.000 0.000  0.00
Pt 0.500 0.500 0.500  0.16